A plane-wave DFT calculation with PBE-GGA was carried out for La2Pr15Nd2 after structural relaxation.

The energy of formation comes out at 0.23 eV/atom. The density of states at the Fermi level comes out at 1.636 states/eV/atom.

The space group is R-3m (No. 166, hexagonal axes) and the conventional cell measures 11.5793, 11.5793 and 18.3803 Å, with angles of 90.00, 90.00 and 120.00 degrees. The distinct sites, in fractional coordinates, are La at (0.0000, 0.0000, 0.1772), Pr at (0.0000, 0.2972, 0.5000), Pr at (0.0000, 0.5000, 0.0000), Pr at (0.0167, 0.5083, 0.6359) and Nd at (0.0000, 0.0000, 0.4098).